Below is an optimized crystal structure of CsLaS2, with properties calculated at the GGA-PBE level.

Values from the calculation:
The value obtained for the uncorrected formation energy is -1.637 eV per atom. The value obtained for the total magnetization is 0.0 μB per cell. As for the space group: R-3m, No. 166. The calculation puts the uncorrected energy at -5.15 eV/atom.

a = 9.6029 Å, b = 9.6029 Å, c = 9.6029 Å
α = 26.39°, β = 26.39°, γ = 26.39°
Fractional positions:
S: 0.8856 0.8856 0.8856
La: 0.5000 0.5000 0.5000
S: 0.1144 0.1144 0.1144
Cs: 0.0000 0.0000 0.0000